Record 1
## RuWS2 (PBEsol)

Data for crystalline RuWS2 at its relaxed geometry.

Calculated values
* formation energy (no corrections): 0.1369 eV per atom
* total magnetization: 0.0000 μB/atom
* density of states at the Fermi level: 3.8 states/eV/f.u.
* energy above the most stable polymorph in this dataset: 3.645 kcal/mol of atoms
* final energy: -8.050 eV per atom

a b c (Å): 3.006 3.006 7.975
angles (deg): 79.14 79.14 60.00
Atoms (fractional coordinates):
S: 0.098 0.098 0.706
S: 0.902 0.902 0.294
W: 0.000 0.000 0.000
Ru: 0.500 0.500 0.500

=====

Record 2
## Li7Mn16O32 (PBEsol)

Data for crystalline Li7Mn16O32 at its relaxed geometry.

Calculated values
* formation energy (no corrections): -1.8283 eV per atom
* total magnetization: 0.7454 μB/atom
* density of states at the Fermi level: 11.2 states/eV/f.u.
* final energy: -7.972 eV per atom

a b c (Å): 8.045 8.046 9.853
angles (deg): 114.10 114.09 90.00
Last column: magnetic moment on the atom in μB.
Atoms (fractional coordinates):
O: 0.269 0.494 0.512  0.02
O: 0.894 0.894 0.263  0.03
O: 0.519 0.244 0.012  0.02
O: 0.869 0.369 0.763  0.02
O: 0.107 0.106 0.738  0.02
O: 0.381 0.382 0.738  0.02
O: 0.644 0.145 0.763  0.02
O: 0.481 0.756 0.987  0.02
O: 0.394 0.394 0.263  0.03
O: 0.018 0.743 0.012  0.02
O: 0.256 0.981 0.987  0.02
O: 0.006 0.231 0.487  0.03
O: 0.143 0.643 0.762  0.03
O: 0.994 0.769 0.512  0.02
O: 0.756 0.482 0.988  0.03
O: 0.731 0.506 0.487  0.03
O: 0.856 0.356 0.238  0.02
O: 0.606 0.606 0.738  0.02
O: 0.243 0.519 0.012  0.02
O: 0.131 0.631 0.238  0.02
O: 0.882 0.881 0.738  0.02
O: 0.119 0.119 0.263  0.03
O: 0.369 0.868 0.762  0.03
O: 0.619 0.619 0.263  0.03
O: 0.353 0.853 0.235  0.04
O: 0.493 0.272 0.515  0.04
O: 0.231 0.006 0.487  0.03
O: 0.632 0.132 0.235  0.04
O: 0.772 0.993 0.515  0.04
O: 0.982 0.257 0.988  0.03
O: 0.744 0.019 0.012  0.02
O: 0.506 0.731 0.487  0.03
Mn: 0.751 0.251 0.000  2.43
Mn: 0.252 0.250 0.500  2.46
Mn: 0.374 0.625 0.750  2.43
Mn: 0.251 0.751 0.002  2.44
Mn: 0.000 0.500 0.000  2.43
Mn: 0.750 0.752 0.500  2.46
Mn: 0.874 0.124 0.748  2.44
Mn: 0.624 0.374 0.748  2.44
Mn: 0.873 0.125 0.250  2.46
Mn: 0.125 0.874 0.750  2.43
Mn: 0.998 0.000 0.500  2.46
Mn: 0.501 0.001 0.002  2.44
Mn: 0.625 0.373 0.250  2.46
Mn: 0.375 0.627 0.250  2.46
Mn: 0.127 0.875 0.250  2.46
Mn: 0.500 0.498 0.500  2.46
Li: 0.438 0.938 0.623  0.01
Li: 0.191 0.187 0.127  0.01
Li: 0.812 0.812 0.875  0.01
Li: 0.934 0.434 0.623  0.01
Li: 0.687 0.691 0.127  0.01
Li: 0.312 0.312 0.875  0.01
Li: 0.063 0.563 0.375  0.01

=====

Record 3
## ZnCu2Au2 (PBEsol)

Data for crystalline ZnCu2Au2 at its relaxed geometry.

Calculated values
* energy of formation: -0.06 eV/f.u.
* total magnetization: 0.0000 μB/atom
* density of states at the Fermi level: 1.5 states/eV/f.u.
* final energy: -3.631 eV per atom

a b c (Å): 3.593 6.384 6.384
angles (deg): 90.00 90.00 90.00
Atoms (fractional coordinates):
Zn: 0.000 0.000 0.000
Zn: 0.000 0.500 0.500
Au: 0.500 0.333 0.167
Au: 0.500 0.167 0.667
Au: 0.500 0.833 0.333
Au: 0.500 0.667 0.833
Cu: 0.000 0.633 0.133
Cu: 0.000 0.367 0.867
Cu: 0.000 0.867 0.633
Cu: 0.000 0.133 0.367

=====

Record 4
## AlCdMo2 (PBEsol)

Data for crystalline AlCdMo2 at its relaxed geometry.

Calculated values
* energy of formation: 0.93 eV/f.u.
* total magnetization: 0.0000 μB/atom
* density of states at the Fermi level: 2.4 states/eV/f.u.
* energy above the most stable polymorph in this dataset: 2.912 kcal/mol of atoms
* final energy: -6.973 eV per atom

a b c (Å): 2.725 4.866 5.078
angles (deg): 95.62 90.00 106.26
Atoms (fractional coordinates):
Mo: 0.001 0.002 0.982
Mo: 0.245 0.489 0.760
Al: 0.503 0.006 0.498
Cd: 0.751 0.502 0.260

=====

Record 5
## NiHgSb2 (PBEsol)

Data for crystalline NiHgSb2 at its relaxed geometry.

Calculated values
* formation energy (no corrections): 0.0566 eV per atom
* total magnetization: 0.0000 μB/atom
* density of states at the Fermi level: 1.9 states/eV/f.u.
* final energy: -3.903 eV per atom

a b c (Å): 3.283 4.058 7.049
angles (deg): 106.73 103.47 90.00
Atoms (fractional coordinates):
Hg: 0.564 0.564 0.127
Sb: 0.736 0.236 0.473
Sb: 0.925 0.925 0.850
Ni: 0.275 0.775 0.549

=====

Record 6
## K2CdFe (PBEsol)

Data for crystalline K2CdFe at its relaxed geometry.

Calculated values
* energy of formation: 3.50 eV/f.u.
* total magnetization: 0.7250 μB/atom
* density of states at the Fermi level: 4.8 states/eV/f.u.
* final energy: -2.231 eV per atom

a b c (Å): 3.466 6.145 6.145
angles (deg): 117.50 90.00 90.00
Last column: magnetic moment on the atom in μB.
Atoms (fractional coordinates):
K: 0.000 0.000 0.500  -0.01
K: 0.000 0.500 0.000  -0.01
Cd: 0.500 0.000 0.000  -0.03
Fe: 0.500 0.500 0.500  3.06

=====

Record 7
## MgScP2 (PBEsol)

Data for crystalline MgScP2 at its relaxed geometry.

Calculated values
* energy of formation: -2.49 eV/f.u.
* total magnetization: 0.0000 μB/atom
* density of states at the Fermi level: 1.0 states/eV/f.u.
* final energy: -5.599 eV per atom

a b c (Å): 5.777 5.777 5.777
angles (deg): 107.24 107.24 114.04
Atoms (fractional coordinates):
P: 0.125 0.619 0.994
P: 0.869 0.875 0.494
P: 0.625 0.131 0.006
P: 0.381 0.375 0.506
Mg: 0.500 0.500 0.000
Mg: 0.750 0.250 0.500
Sc: 0.000 0.000 0.000
Sc: 0.250 0.750 0.500

=====

Record 8
## Ti2Sb2Te (PBEsol)

Data for crystalline Ti2Sb2Te at its relaxed geometry.

Calculated values
* formation energy (no corrections): -0.4271 eV per atom
* total magnetization: 0.0000 μB/atom
* density of states at the Fermi level: 3.2 states/eV/f.u.
* final energy: -6.284 eV per atom

a b c (Å): 3.603 7.615 7.615
angles (deg): 90.00 90.00 90.00
Atoms (fractional coordinates):
Sb: 0.500 0.857 0.357
Sb: 0.500 0.357 0.143
Sb: 0.500 0.643 0.857
Sb: 0.500 0.143 0.643
Ti: 0.000 0.851 0.649
Ti: 0.000 0.149 0.351
Ti: 0.000 0.351 0.851
Ti: 0.000 0.649 0.149
Te: 0.000 0.000 0.000
Te: 0.000 0.500 0.500